Here is an optimized crystal structure of SrSN2F from the Alexandria database. Energies are from PBE.

a b c (Å): 3.580 3.580 5.037
angles (deg): 90.00 90.00 90.00
Space group P4/mmm (No. 123)
One atom of each set of equivalent atoms:
Sr  0.000  0.000  0.000 (multiplicity 1)
S  0.500  0.500  0.500 (multiplicity 1)
N  0.000  0.500  0.500 (multiplicity 2)
F  0.500  0.500  0.000 (multiplicity 1)

Results
Energy relative to the lowest polymorph listed for this composition in eV per formula unit: 0.00
Raw total energy in eV per formula unit: -25.695
Total moment in Bohr magnetons per cell: 0.00



Here is an optimized crystal structure of Pr3Cd from the Alexandria database. Energies are from PBE.

a b c (Å): 3.522 3.577 10.859
angles (deg): 90.00 90.00 90.00
Space group Pmm2 (No. 25)
One atom of each set of equivalent atoms:
Pr  0.000  0.000  0.000 (multiplicity 1)
Pr  0.000  0.500  0.458 (multiplicity 1)
Pr  0.500  0.500  0.752 (multiplicity 1)
Cd  0.500  0.000  0.258 (multiplicity 1)

Results
Energy relative to the lowest polymorph listed for this composition in eV per formula unit: 0.80
Energy relative to the elements in eV/atom: 0.065
Raw total energy in eV per formula unit: -14.993
Total moment in Bohr magnetons per cell: 0.00



Here is an optimized crystal structure of Ac8TcNi3Br4 from the Alexandria database. Energies are from PBE.

a b c (Å): 8.5921 8.5921 24.8933
angles (deg): 90.00 90.00 120.00
Space group R-3m (No. 166, hexagonal axes)
One atom of each set of equivalent atoms:
Ac  0.0000  0.0000  0.2305 (multiplicity 6)
Ac  0.0023  0.5012  0.2317 (multiplicity 18)
Tc  0.0000  0.0000  0.5000 (multiplicity 3)
Ni  0.0000  0.5000  0.5000 (multiplicity 9)
Br  0.0000  0.0000  0.0000 (multiplicity 3)
Br  0.0000  0.5000  0.0000 (multiplicity 9)

Results
Raw total energy in eV per formula unit: -80.007
Total moment in Bohr magnetons per cell: 0.00



Here is an optimized crystal structure of NaBPt from the Alexandria database. Energies are from PBE.

a b c (Å): 3.5347 3.5347 4.7906
angles (deg): 90.00 90.00 120.00
Space group P-6m2 (No. 187)
One atom of each set of equivalent atoms:
Na  0.0000  0.0000  0.0000 (multiplicity 1)
B  0.6667  0.3333  0.5000 (multiplicity 1)
Pt  0.3333  0.6667  0.5000 (multiplicity 1)

Results
Energy relative to the elements in eV/atom: -0.195
Raw total energy in eV per formula unit: -14.623
Total moment in Bohr magnetons per cell: 0.00



Which value of total moment does entry 2 give?
0.00 Bohr magnetons per cell



Which of these has the lowest raw total energy?
Ac8TcNi3Br4